Material: Na2PaSb2Se6
Method: DFT, PBE-GGA
State: optimized geometry

abc: 7.246 7.246 7.479
angles: 99.88 99.88 119.40
Each line ends with the local moment (μB).
Sites, in units of the cell vectors:
Na: 0.830 0.170 0.000  0.00
Na: 0.170 0.830 0.000  0.00
Pa: 0.000 0.000 0.500  0.85
Sb: 0.331 0.669 0.500  0.04
Sb: 0.669 0.331 0.500  0.04
Se: 0.757 0.757 0.725  -0.01
Se: 0.075 0.407 0.725  -0.01
Se: 0.243 0.243 0.275  -0.01
Se: 0.407 0.075 0.725  -0.01
Se: 0.925 0.593 0.275  -0.01
Se: 0.593 0.925 0.275  -0.01

Results
Space-group type = C2/m
Density of states at the Fermi level = 5.4 states/eV per cell
Spin magnetization = 1.05 μB/f.u.
Total DFT energy (no corrections) = -50.5 eV per cell